# 1
The following is a PBE-GGA calculation of a relaxed Pm12YSi6 crystal, from the Alexandria database.

Structure (POSCAR):
```
Pm12YSi6
1.0
6.7723 3.9100 3.6022
-6.7723 3.9100 3.6022
0.0000 -7.8200 3.6022
Pm Y Si
12 1 6
Direct
0.0000 0.3778 0.6222
0.0000 0.6222 0.3778
0.0596 0.0596 0.3241
0.0596 0.3241 0.0596
0.3241 0.0596 0.0596
0.3778 0.0000 0.6222
0.3778 0.6222 0.0000
0.6222 0.0000 0.3778
0.6222 0.3778 0.0000
0.6759 0.9404 0.9404
0.9404 0.6759 0.9404
0.9404 0.9404 0.6759
0.5000 0.5000 0.5000
0.1979 0.7519 0.7519
0.2481 0.2481 0.8021
0.2481 0.8021 0.2481
0.7519 0.1979 0.7519
0.7519 0.7519 0.1979
0.8021 0.2481 0.2481
```

Properties
As for the energy relative to the elements, uncorrected: -300.3 meV per atom. As for the symmetry: R-3m, No. 166. Its total energy is -101.71 eV/cell. For the volume, the calculation gives 572 Å³/cell.

# 2
The following is a PBE-GGA calculation of a relaxed PmZnSi crystal, from the Alexandria database.

Structure (POSCAR):
```
PmZnSi
1.0
4.1636 0.0000 0.0000
-2.0818 3.6058 0.0000
0.0000 0.0000 8.3717
Pm Zn Si
2 2 2
Direct
0.0000 0.0000 0.0000
0.0000 0.0000 0.5000
0.3333 0.6667 0.2500
0.6667 0.3333 0.7500
0.3333 0.6667 0.7500
0.6667 0.3333 0.2500
```

Properties
As for the energy relative to the elements, uncorrected: -646.1 meV per atom. The energy above the most stable polymorph in this dataset comes out at 0.000 eV/atom. As for the symmetry: P6_3/mmc, No. 194. Its total energy is -26.77 eV/cell. For the volume, the calculation gives 126 Å³/cell.

# 3
The following is a PBE-GGA calculation of a relaxed Pm2Zn16Si crystal, from the Alexandria database.

Structure (POSCAR):
```
Pm2Zn16Si
1.0
4.5471 2.6253 4.3498
-4.5471 2.6253 4.3498
0.0000 -5.2505 4.3498
Pm Zn Si
2 16 1
Direct
0.0000 0.0000 0.0000
0.3350 0.3350 0.3350
0.0150 0.0150 0.5027
0.0150 0.5027 0.0150
0.1607 0.6696 0.6696
0.3164 0.3164 0.8327
0.3164 0.8327 0.3164
0.3641 0.6669 0.9689
0.3641 0.9689 0.6669
0.5027 0.0150 0.0150
0.6669 0.3641 0.9689
0.6669 0.9689 0.3641
0.6696 0.1607 0.6696
0.6696 0.6696 0.1607
0.7585 0.7585 0.7585
0.8327 0.3164 0.3164
0.9689 0.3641 0.6669
0.9689 0.6669 0.3641
0.5653 0.5653 0.5653
```

Properties
As for the energy relative to the elements, uncorrected: -221.2 meV per atom. As for the symmetry: R3m, No. 160. Its total energy is -39.51 eV/cell. For the volume, the calculation gives 312 Å³/cell.

# 4
The following is a PBE-GGA calculation of a relaxed PmZn3Si crystal, from the Alexandria database.

Structure (POSCAR):
```
PmZn3Si
1.0
-2.0228 2.0813 10.9970
2.0228 -2.0813 10.9970
2.0228 2.0813 -10.9970
Pm Zn Si
2 6 2
Direct
0.3421 0.0921 0.2500
0.6579 0.9079 0.7500
0.0443 0.7943 0.2500
0.2226 0.4726 0.7500
0.4602 0.7102 0.7500
0.5398 0.2898 0.2500
0.7774 0.5274 0.2500
0.9557 0.2057 0.7500
0.1128 0.3628 0.7500
0.8872 0.6372 0.2500
```

Properties
As for the energy relative to the elements, uncorrected: -332.7 meV per atom. As for the symmetry: Imma, No. 74. Its total energy is -31.32 eV/cell. For the volume, the calculation gives 185 Å³/cell.

# 5
The following is a PBE-GGA calculation of a relaxed Pm3Zn3Si2 crystal, from the Alexandria database.

Structure (POSCAR):
```
Pm3Zn3Si2
1.0
2.0707 -5.5861 0.0000
2.0707 5.5861 0.0000
0.0000 0.0000 15.5374
Pm Zn Si
6 6 4
Direct
0.0676 0.9324 0.7500
0.3554 0.6446 0.5909
0.3554 0.6446 0.9091
0.6446 0.3554 0.0909
0.6446 0.3554 0.4091
0.9324 0.0676 0.2500
0.0758 0.9242 0.5550
0.0758 0.9242 0.9450
0.2094 0.7906 0.2500
0.7906 0.2094 0.7500
0.9242 0.0758 0.0550
0.9242 0.0758 0.4450
0.3465 0.6535 0.1167
0.3465 0.6535 0.3833
0.6535 0.3465 0.6167
0.6535 0.3465 0.8833
```

Properties
As for the energy relative to the elements, uncorrected: -534.0 meV per atom. As for the symmetry: Cmcm, No. 63. Its total energy is -66.38 eV/cell. For the volume, the calculation gives 359 Å³/cell.

# 6
The following is a PBE-GGA calculation of a relaxed Pm2ZnSi2 crystal, from the Alexandria database.

Structure (POSCAR):
```
Pm2ZnSi2
1.0
7.1230 0.0000 0.0000
0.0000 7.1230 0.0000
0.0000 0.0000 4.3530
Pm Zn Si
4 2 4
Direct
0.1797 0.3203 0.0000
0.3203 0.8203 0.0000
0.6797 0.1797 0.0000
0.8203 0.6797 0.0000
0.0000 0.0000 0.5000
0.5000 0.5000 0.5000
0.1185 0.6185 0.5000
0.3815 0.1185 0.5000
0.6185 0.8815 0.5000
0.8815 0.3815 0.5000
```

Properties
As for the energy relative to the elements, uncorrected: -630.0 meV per atom. The energy above the most stable polymorph in this dataset comes out at 0.021 eV/atom. As for the symmetry: P4/mbm, No. 127. Its total energy is -49.54 eV/cell. For the volume, the calculation gives 221 Å³/cell.

# 7
The following is a PBE-GGA calculation of a relaxed Pm2Zn3Si4 crystal, from the Alexandria database.

Structure (POSCAR):
```
Pm2Zn3Si4
1.0
2.8444 -7.5910 0.0000
2.8444 7.5910 0.0000
0.0000 0.0000 7.6931
Pm Zn Si
4 6 8
Direct
0.1138 0.8862 0.9141
0.3862 0.6138 0.4141
0.6138 0.3862 0.5859
0.8862 0.1138 0.0859
0.0000 0.0000 0.5000
0.0357 0.4643 0.7500
0.4643 0.0357 0.2500
0.5000 0.5000 0.0000
0.5357 0.9643 0.7500
0.9643 0.5357 0.2500
0.1896 0.8104 0.5424
0.1992 0.3008 0.7500
0.3008 0.1992 0.2500
0.3104 0.6896 0.0424
0.6896 0.3104 0.9576
0.6992 0.8008 0.7500
0.8008 0.6992 0.2500
0.8104 0.1896 0.4576
```

Properties
As for the energy relative to the elements, uncorrected: -338.6 meV per atom. As for the symmetry: Cmce, No. 64. Its total energy is -76.12 eV/cell. For the volume, the calculation gives 332 Å³/cell.

# 8
The following is a PBE-GGA calculation of a relaxed PmZn4Si2 crystal, from the Alexandria database.

Structure (POSCAR):
```
PmZn4Si2
1.0
2.0212 -7.3932 0.0000
2.0212 7.3932 0.0000
0.0000 0.0000 4.0332
Pm Zn Si
1 4 2
Direct
0.0000 0.0000 0.0000
0.1836 0.8164 0.5000
0.3118 0.6882 0.0000
0.6882 0.3118 0.0000
0.8164 0.1836 0.5000
0.4193 0.5807 0.5000
0.5807 0.4193 0.5000
```

Properties
As for the energy relative to the elements, uncorrected: -264.8 meV per atom. As for the symmetry: Cmmm, No. 65. Its total energy is -22.55 eV/cell. For the volume, the calculation gives 121 Å³/cell.

# 9
The following is a PBE-GGA calculation of a relaxed Pm3Zn2Si3 crystal, from the Alexandria database.

Structure (POSCAR):
```
Pm3Zn2Si3
1.0
2.1374 -5.4636 0.0000
2.1374 5.4636 0.0000
0.0000 0.0000 14.4465
Pm Zn Si
6 4 6
Direct
0.0760 0.9240 0.6137
0.0760 0.9240 0.8863
0.3633 0.6367 0.7500
0.6367 0.3633 0.2500
0.9240 0.0760 0.1137
0.9240 0.0760 0.3863
0.2198 0.7802 0.0918
0.2198 0.7802 0.4082
0.7802 0.2198 0.5918
0.7802 0.2198 0.9082
0.3421 0.6579 0.2500
0.3900 0.6100 0.5408
0.3900 0.6100 0.9592
0.6100 0.3900 0.0408
0.6100 0.3900 0.4592
0.6579 0.3421 0.7500
```

Properties
As for the energy relative to the elements, uncorrected: -583.8 meV per atom. As for the symmetry: Cmcm, No. 63. Its total energy is -75.48 eV/cell. For the volume, the calculation gives 337 Å³/cell.

# 10
The following is a PBE-GGA calculation of a relaxed Pm2Zn5Si crystal, from the Alexandria database.

Structure (POSCAR):
```
Pm2Zn5Si
1.0
2.1915 -8.0232 0.0000
2.1915 8.0232 0.0000
0.0000 0.0000 8.8120
Pm Zn Si
4 10 2
Direct
0.0000 0.0000 0.0000
0.0000 0.0000 0.5000
0.2029 0.7971 0.7500
0.7971 0.2029 0.2500
0.1862 0.8138 0.1064
0.1862 0.8138 0.3936
0.3511 0.6489 0.0239
0.3511 0.6489 0.4761
0.4044 0.5956 0.7500
0.5956 0.4044 0.2500
0.6489 0.3511 0.5239
0.6489 0.3511 0.9761
0.8138 0.1862 0.6064
0.8138 0.1862 0.8936
0.4435 0.5565 0.2500
0.5565 0.4435 0.7500
```

Properties
As for the energy relative to the elements, uncorrected: -445.3 meV per atom. As for the symmetry: Cmcm, No. 63. Its total energy is -49.71 eV/cell. For the volume, the calculation gives 310 Å³/cell.

# 11
The following is a PBE-GGA calculation of a relaxed Pm2Zn3Si crystal, from the Alexandria database.

Structure (POSCAR):
```
Pm2Zn3Si
1.0
0.0000 4.4046 7.6092
3.7784 0.0000 7.6092
3.7784 4.4046 0.0000
Pm Zn Si
4 6 2
Direct
0.2439 0.7561 0.7561
0.2500 0.2500 0.2500
0.7500 0.7500 0.7500
0.7561 0.2439 0.2439
0.1685 0.1685 0.8315
0.1709 0.6623 0.3377
0.3377 0.8291 0.1709
0.6623 0.1709 0.8291
0.8291 0.3377 0.6623
0.8315 0.8315 0.1685
0.3341 0.3341 0.6659
0.6659 0.6659 0.3341
```

Properties
As for the energy relative to the elements, uncorrected: -497.3 meV per atom. As for the symmetry: Fmmm, No. 69. Its total energy is -43.46 eV/cell. For the volume, the calculation gives 253 Å³/cell.

# 12
The following is a PBE-GGA calculation of a relaxed PmZnSi4 crystal, from the Alexandria database.

Structure (POSCAR):
```
PmZnSi4
1.0
0.0000 3.7341 3.7341
3.7341 0.0000 3.7341
3.7341 3.7341 0.0000
Pm Zn Si
1 1 4
Direct
0.0000 0.0000 0.0000
0.2500 0.2500 0.2500
0.1291 0.6236 0.6236
0.6236 0.1291 0.6236
0.6236 0.6236 0.1291
0.6236 0.6236 0.6236
```

Properties
As for the energy relative to the elements, uncorrected: -124.0 meV per atom. As for the symmetry: F-43m, No. 216. Its total energy is -28.46 eV/cell. For the volume, the calculation gives 104 Å³/cell.

# 13
The following is a PBE-GGA calculation of a relaxed Pm2Zn2Si3 crystal, from the Alexandria database.

Structure (POSCAR):
```
Pm2Zn2Si3
1.0
2.1111 -9.3345 0.0000
2.1111 9.3345 0.0000
0.0000 0.0000 6.8874
Pm Zn Si
4 4 6
Direct
0.0491 0.9509 0.7500
0.1583 0.8417 0.2500
0.8417 0.1583 0.7500
0.9509 0.0491 0.2500
0.3225 0.6775 0.0657
0.3225 0.6775 0.4343
0.6775 0.3225 0.5657
0.6775 0.3225 0.9343
0.2169 0.7831 0.7500
0.4428 0.5572 0.5785
0.4428 0.5572 0.9215
0.5572 0.4428 0.0785
0.5572 0.4428 0.4215
0.7831 0.2169 0.2500
```

Properties
As for the energy relative to the elements, uncorrected: -518.3 meV per atom. As for the symmetry: Cmcm, No. 63. Its total energy is -63.89 eV/cell. For the volume, the calculation gives 271 Å³/cell.

# 14
The following is a PBE-GGA calculation of a relaxed Pm3ZnSi2 crystal, from the Alexandria database.

Structure (POSCAR):
```
Pm3ZnSi2
1.0
4.0702 2.3499 5.5638
-4.0702 2.3499 5.5638
0.0000 -4.6999 5.5638
Pm Zn Si
6 2 4
Direct
0.0481 0.7500 0.4519
0.2500 0.5481 0.9519
0.4519 0.0481 0.7500
0.5481 0.9519 0.2500
0.7500 0.4519 0.0481
0.9519 0.2500 0.5481
0.0000 0.0000 0.0000
0.5000 0.5000 0.5000
0.1429 0.1429 0.1429
0.3571 0.3571 0.3571
0.6429 0.6429 0.6429
0.8571 0.8571 0.8571
```

Properties
As for the energy relative to the elements, uncorrected: -433.9 meV per atom. The energy above the most stable polymorph in this dataset comes out at 0.160 eV/atom. As for the symmetry: R-3c, No. 167. Its total energy is -57.95 eV/cell. For the volume, the calculation gives 319 Å³/cell.

# 15
The following is a PBE-GGA calculation of a relaxed Pm2Zn5Si4 crystal, from the Alexandria database.

Structure (POSCAR):
```
Pm2Zn5Si4
1.0
0.0000 5.0837 7.2071
2.8249 0.0000 7.2071
2.8249 5.0837 0.0000
Pm Zn Si
2 5 4
Direct
0.1443 0.1443 0.8557
0.8557 0.8557 0.1443
0.0000 0.0000 0.5000
0.2500 0.2500 0.2500
0.5000 0.5000 0.0000
0.5000 0.5000 0.5000
0.7500 0.7500 0.7500
0.2329 0.4759 0.5241
0.4759 0.2329 0.7671
0.5241 0.7671 0.2329
0.7671 0.5241 0.4759
```

Properties
As for the energy relative to the elements, uncorrected: -192.2 meV per atom. As for the symmetry: Fmmm, No. 69. Its total energy is -39.68 eV/cell. For the volume, the calculation gives 207 Å³/cell.

# 16
The following is a PBE-GGA calculation of a relaxed Pm5ZnSi2 crystal, from the Alexandria database.

Structure (POSCAR):
```
Pm5ZnSi2
1.0
-3.8368 3.8368 7.3198
3.8368 -3.8368 7.3198
3.8368 3.8368 -7.3198
Pm Zn Si
10 2 4
Direct
0.0000 0.0000 0.0000
0.0354 0.5354 0.8543
0.1810 0.0354 0.5000
0.3190 0.8190 0.8543
0.4646 0.3190 0.5000
0.5000 0.5000 0.0000
0.5354 0.6810 0.5000
0.6810 0.1810 0.1457
0.8190 0.9646 0.5000
0.9646 0.4646 0.1457
0.2500 0.2500 0.0000
0.7500 0.7500 0.0000
0.1155 0.3845 0.5000
0.3845 0.8845 0.2690
0.6155 0.1155 0.7310
0.8845 0.6155 0.5000
```

Properties
As for the energy relative to the elements, uncorrected: -465.0 meV per atom. As for the symmetry: I4/mcm, No. 140. Its total energy is -79.19 eV/cell. For the volume, the calculation gives 431 Å³/cell.

# 17
The following is a PBE-GGA calculation of a relaxed Pm4Zn5Si2 crystal, from the Alexandria database.

Structure (POSCAR):
```
Pm4Zn5Si2
1.0
6.9697 0.0000 0.0000
0.0000 4.3095 0.0000
-0.4693 0.0000 8.2302
Pm Zn Si
4 5 2
Direct
0.2088 0.0000 0.1491
0.2470 0.0000 0.6097
0.7530 0.0000 0.3903
0.7912 0.0000 0.8509
0.1447 0.5000 0.8866
0.4216 0.5000 0.3572
0.5000 0.5000 0.0000
0.5784 0.5000 0.6428
0.8553 0.5000 0.1134
0.0606 0.5000 0.3699
0.9394 0.5000 0.6301
```

Properties
As for the energy relative to the elements, uncorrected: -434.3 meV per atom. As for the symmetry: P2/m, No. 10. Its total energy is -41.00 eV/cell. For the volume, the calculation gives 247 Å³/cell.

# 18
The following is a PBE-GGA calculation of a relaxed Pm3Zn2Si4 crystal, from the Alexandria database.

Structure (POSCAR):
```
Pm3Zn2Si4
1.0
5.5406 -2.0689 0.0000
5.5406 2.0689 0.0000
-2.8587 0.0000 8.0200
Pm Zn Si
3 2 4
Direct
0.0000 0.0000 0.0000
0.3786 0.3786 0.3101
0.6214 0.6214 0.6899
0.3229 0.3229 0.6729
0.6771 0.6771 0.3271
0.0948 0.0948 0.4034
0.2771 0.2771 0.9434
0.7229 0.7229 0.0566
0.9052 0.9052 0.5966
```

Properties
As for the energy relative to the elements, uncorrected: -590.3 meV per atom. The energy above the most stable polymorph in this dataset comes out at 0.099 eV/atom. As for the symmetry: C2/m, No. 12. Its total energy is -43.80 eV/cell. For the volume, the calculation gives 184 Å³/cell.

# 19
The following is a PBE-GGA calculation of a relaxed Pm4ZnSi crystal, from the Alexandria database.

Structure (POSCAR):
```
Pm4ZnSi
1.0
5.0181 0.0000 0.0000
0.0000 5.0181 0.0000
0.0000 0.0000 7.1277
Pm Zn Si
4 1 1
Direct
0.0000 0.5000 0.2490
0.0000 0.5000 0.7510
0.5000 0.0000 0.2490
0.5000 0.0000 0.7510
0.0000 0.0000 0.5000
0.5000 0.5000 0.0000
```

Properties
As for the energy relative to the elements, uncorrected: -183.2 meV per atom. As for the symmetry: P4/mmm, No. 123. Its total energy is -26.80 eV/cell. For the volume, the calculation gives 179 Å³/cell.

# 20
The following is a PBE-GGA calculation of a relaxed PmZnSi crystal, from the Alexandria database.

Structure (POSCAR):
```
PmZnSi
1.0
0.0000 3.2010 3.2010
3.2010 0.0000 3.2010
3.2010 3.2010 0.0000
Pm Zn Si
1 1 1
Direct
0.0000 0.0000 0.0000
0.2500 0.2500 0.2500
0.5000 0.5000 0.5000
```

Properties
As for the energy relative to the elements, uncorrected: -274.6 meV per atom. The energy above the most stable polymorph in this dataset comes out at 0.372 eV/atom. As for the symmetry: F-43m, No. 216. Its total energy is -12.27 eV/cell. For the volume, the calculation gives 66 Å³/cell.